First-principles (GGA-PBEsol) data for an optimized crystal structure of Sr2TcAgPd, as listed in the Alexandria database. Values from VASP.

Space-group type: P4/mmm
DFT total energy, eV/atom: -3.853

Quantum ESPRESSO input file:
```
&SYSTEM
  ibrav = 0, nat = 5, ntyp = 4
/
ATOMIC_SPECIES
Sr 87.62 Sr.upf
Tc 98.00 Tc.upf
Pd 106.42 Pd.upf
Ag 107.87 Ag.upf
CELL_PARAMETERS angstrom
4.894 0.000 0.000
0.000 5.717 0.000
0.000 0.000 5.717
ATOMIC_POSITIONS crystal
Sr 0.000 0.000 0.500
Sr 0.000 0.500 0.000
Tc 0.500 0.000 0.000
Pd 0.500 0.500 0.500
Ag 0.000 0.000 0.000
```

=====

First-principles (GGA-PBEsol) data for an optimized crystal structure of Tb2AgPd, as listed in the Alexandria database. Values from VASP.

Space-group type: P4/mmm
DFT total energy, eV/atom: -5.400

Quantum ESPRESSO input file:
```
&SYSTEM
  ibrav = 0, nat = 4, ntyp = 3
/
ATOMIC_SPECIES
Tb 158.93 Tb.upf
Ag 107.87 Ag.upf
Pd 106.42 Pd.upf
CELL_PARAMETERS angstrom
-2.309 -2.623 0.071
2.101 -1.905 -2.043
3.214 -2.672 5.797
ATOMIC_POSITIONS crystal
Tb 0.500 0.500 0.738
Tb 0.500 0.500 0.262
Ag 0.000 0.000 0.000
Pd 0.000 0.000 0.500
```

=====

First-principles (GGA-PBEsol) data for an optimized crystal structure of AgTe2Pd, as listed in the Alexandria database. Values from VASP.

Space-group type: R-3m
Energy relative to the elements, uncorrected, eV/atom: -0.0487

Quantum ESPRESSO input file:
```
&SYSTEM
  ibrav = 0, nat = 4, ntyp = 3
/
ATOMIC_SPECIES
Te 127.60 Te.upf
Pd 106.42 Pd.upf
Ag 107.87 Ag.upf
CELL_PARAMETERS angstrom
-0.018 3.707 -1.416
-1.410 0.728 -3.638
-7.813 2.617 1.387
ATOMIC_POSITIONS crystal
Te 0.109 0.109 0.673
Te 0.891 0.891 0.327
Pd 0.500 0.500 0.500
Ag 0.000 0.000 0.000
```

=====

First-principles (GGA-PBEsol) data for an optimized crystal structure of Ti2AgPd, as listed in the Alexandria database. Values from VASP.

Space-group type: Fm-3m
DFT total energy, eV/atom: -6.623

Quantum ESPRESSO input file:
```
&SYSTEM
  ibrav = 0, nat = 4, ntyp = 3
/
ATOMIC_SPECIES
Ag 107.87 Ag.upf
Pd 106.42 Pd.upf
Ti 47.87 Ti.upf
CELL_PARAMETERS angstrom
-3.886 -1.598 1.568
-0.301 -4.280 1.305
-0.423 -0.993 4.353
ATOMIC_POSITIONS crystal
Ag 0.500 0.500 0.500
Pd 0.000 0.000 0.000
Ti 0.250 0.250 0.250
Ti 0.750 0.750 0.750
```

=====

First-principles (GGA-PBEsol) data for an optimized crystal structure of TiAg2Pd, as listed in the Alexandria database. Values from VASP.

Space-group type: Fm-3m
DFT total energy, eV/atom: -5.267

Quantum ESPRESSO input file:
```
&SYSTEM
  ibrav = 0, nat = 4, ntyp = 3
/
ATOMIC_SPECIES
Ag 107.87 Ag.upf
Pd 106.42 Pd.upf
Ti 47.87 Ti.upf
CELL_PARAMETERS angstrom
4.471 0.000 0.000
2.236 3.872 0.000
2.236 1.291 3.651
ATOMIC_POSITIONS crystal
Ag 0.250 0.250 0.250
Ag 0.750 0.750 0.750
Pd 0.500 0.500 0.500
Ti 0.000 0.000 0.000
```

=====

First-principles (GGA-PBEsol) data for an optimized crystal structure of YTi2AgPd, as listed in the Alexandria database. Values from VASP.

Space-group type: P4/mmm
DFT total energy, eV/atom: -5.215

Quantum ESPRESSO input file:
```
&SYSTEM
  ibrav = 0, nat = 5, ntyp = 4
/
ATOMIC_SPECIES
Ti 47.87 Ti.upf
Pd 106.42 Pd.upf
Ag 107.87 Ag.upf
Y 88.91 Y.upf
CELL_PARAMETERS angstrom
4.797 0.000 0.000
0.000 4.797 0.000
0.000 0.000 4.782
ATOMIC_POSITIONS crystal
Ti 0.000 0.500 0.000
Ti 0.500 0.000 0.000
Pd 0.000 0.000 0.500
Ag 0.500 0.500 0.500
Y 0.000 0.000 0.000
```

=====

First-principles (GGA-PBEsol) data for an optimized crystal structure of Tl2AgPd2, as listed in the Alexandria database. Values from VASP.

Space-group type: P4/mbm
DFT total energy, eV/atom: -4.183

Quantum ESPRESSO input file:
```
&SYSTEM
  ibrav = 0, nat = 10, ntyp = 3
/
ATOMIC_SPECIES
Tl 204.38 Tl.upf
Ag 107.87 Ag.upf
Pd 106.42 Pd.upf
CELL_PARAMETERS angstrom
-1.005 -3.420 -0.363
6.931 -2.082 0.421
-0.613 -0.584 7.200
ATOMIC_POSITIONS crystal
Tl 0.500 0.836 0.336
Tl 0.500 0.336 0.164
Tl 0.500 0.664 0.836
Tl 0.500 0.164 0.664
Ag 0.000 0.000 0.000
Ag 0.000 0.500 0.500
Pd 0.000 0.862 0.638
Pd 0.000 0.638 0.138
Pd 0.000 0.138 0.362
Pd 0.000 0.362 0.862
```

=====

First-principles (GGA-PBEsol) data for an optimized crystal structure of Y2AgPd2, as listed in the Alexandria database. Values from VASP.

Space-group type: P4/mbm
DFT total energy, eV/atom: -6.504

Quantum ESPRESSO input file:
```
&SYSTEM
  ibrav = 0, nat = 10, ntyp = 3
/
ATOMIC_SPECIES
Pd 106.42 Pd.upf
Y 88.91 Y.upf
Ag 107.87 Ag.upf
CELL_PARAMETERS angstrom
-1.293 3.451 0.520
-6.862 -2.729 1.046
1.351 -0.596 7.311
ATOMIC_POSITIONS crystal
Pd 0.000 0.870 0.630
Pd 0.000 0.370 0.870
Pd 0.000 0.630 0.130
Pd 0.000 0.130 0.370
Y 0.500 0.172 0.672
Y 0.500 0.828 0.328
Y 0.500 0.328 0.172
Y 0.500 0.672 0.828
Ag 0.000 0.000 0.000
Ag 0.000 0.500 0.500
```

=====

First-principles (GGA-PBEsol) data for an optimized crystal structure of Zr2AgPd2, as listed in the Alexandria database. Values from VASP.

Space-group type: P4/mbm
DFT total energy, eV/atom: -7.197

Quantum ESPRESSO input file:
```
&SYSTEM
  ibrav = 0, nat = 10, ntyp = 3
/
ATOMIC_SPECIES
Pd 106.42 Pd.upf
Zr 91.22 Zr.upf
Ag 107.87 Ag.upf
CELL_PARAMETERS angstrom
-3.285 0.150 -0.473
-0.072 -7.186 -1.781
-1.103 -1.751 7.109
ATOMIC_POSITIONS crystal
Pd 0.000 0.629 0.129
Pd 0.000 0.129 0.371
Pd 0.000 0.871 0.629
Pd 0.000 0.371 0.871
Zr 0.500 0.673 0.827
Zr 0.500 0.827 0.327
Zr 0.500 0.173 0.673
Zr 0.500 0.327 0.173
Ag 0.000 0.500 0.500
Ag 0.000 0.000 0.000
```

=====

First-principles (GGA-PBEsol) data for an optimized crystal structure of PmAg3, as listed in the Alexandria database. Values from VASP.

Space-group type: Fm-3m
DFT total energy, eV/atom: -3.950

Quantum ESPRESSO input file:
```
&SYSTEM
  ibrav = 0, nat = 4, ntyp = 2
/
ATOMIC_SPECIES
Pm 145.00 Pm.upf
Ag 107.87 Ag.upf
CELL_PARAMETERS angstrom
-3.544 -0.585 -3.292
-3.250 -3.591 0.531
-4.612 1.043 1.175
ATOMIC_POSITIONS crystal
Pm 0.000 0.000 0.000
Ag 0.750 0.750 0.750
Ag 0.250 0.250 0.250
Ag 0.500 0.500 0.500
```

=====

First-principles (GGA-PBEsol) data for an optimized crystal structure of PmAg3, as listed in the Alexandria database. Values from VASP.

Space-group type: P6_3/mmc
DFT total energy, eV/atom: -3.954

Quantum ESPRESSO input file:
```
&SYSTEM
  ibrav = 0, nat = 8, ntyp = 2
/
ATOMIC_SPECIES
Ag 107.87 Ag.upf
Pm 145.00 Pm.upf
CELL_PARAMETERS angstrom
-3.577 -2.627 -1.772
3.577 -1.498 -5.000
0.111 -3.641 5.174
ATOMIC_POSITIONS crystal
Ag 0.750 0.302 0.151
Ag 0.750 0.849 0.151
Ag 0.250 0.698 0.849
Ag 0.750 0.849 0.698
Ag 0.250 0.151 0.302
Ag 0.250 0.151 0.849
Pm 0.750 0.333 0.667
Pm 0.250 0.667 0.333
```

=====

First-principles (GGA-PBEsol) data for an optimized crystal structure of Pm2AgPt, as listed in the Alexandria database. Values from VASP.

Space-group type: Fm-3m
DFT total energy, eV/atom: -5.784

Quantum ESPRESSO input file:
```
&SYSTEM
  ibrav = 0, nat = 4, ntyp = 3
/
ATOMIC_SPECIES
Pm 145.00 Pm.upf
Ag 107.87 Ag.upf
Pt 195.08 Pt.upf
CELL_PARAMETERS angstrom
-4.430 2.211 1.051
-1.946 -0.322 4.662
-0.143 4.095 2.972
ATOMIC_POSITIONS crystal
Pm 0.250 0.250 0.250
Pm 0.750 0.750 0.750
Ag 0.500 0.500 0.500
Pt 0.000 0.000 0.000
```